Below is a geometry-optimized TcW2Au structure, with properties calculated at the PBE level.

Output
VASP energy: -9.56 eV per atom
V: 65 Å³/cell
magnetic moment: 0.0000 μB/atom
ΔH_f (0 K): 1.31 eV per formula unit
energy above the lowest structure with this stoichiometry: 112 meV per atom
space-group type: R-3m

Cell: 9.5029 9.5029 9.5029 Å, 17.09 17.09 17.09°
Fractional positions:
Tc  0.0000  0.0000  0.0000
W  0.2541  0.2541  0.2541
W  0.7459  0.7459  0.7459
Au  0.5000  0.5000  0.5000

---

Below is a geometry-optimized Ce2Zn5Ni4 structure, with properties calculated at the PBE level.

Output
VASP energy: -4.07 eV per atom
V: 180 Å³/cell
magnetic moment: 0.0522 μB/atom
ΔH_f (0 K): -3.44 eV per formula unit
space-group type: Fmmm

Cell: 9.2192 8.4518 5.1139 Å, 81.62 65.09 33.28°
Fractional positions:
Ce  0.1400  0.1400  0.8600
Ce  0.8600  0.8600  0.1400
Zn  0.0000  0.0000  0.5000
Zn  0.2500  0.2500  0.2500
Zn  0.5000  0.5000  0.0000
Zn  0.5000  0.5000  0.5000
Zn  0.7500  0.7500  0.7500
Ni  0.2189  0.5238  0.4762
Ni  0.4762  0.7811  0.2189
Ni  0.5238  0.2189  0.7811
Ni  0.7811  0.4762  0.5238

---

Below is a geometry-optimized Ce2Pr3Bi3 structure, with properties calculated at the PBE level.

Output
VASP energy: -5.46 eV per atom
V: 519 Å³/cell
magnetic moment: 0.3341 μB/atom
ΔH_f (0 K): -5.79 eV per formula unit
space-group type: P6_3/mcm

Cell: 9.5812 9.5812 6.5248 Å, 90.00 90.00 120.00°
Fractional positions:
Ce  0.3333  0.6667  0.0000
Ce  0.3333  0.6667  0.5000
Ce  0.6667  0.3333  0.0000
Ce  0.6667  0.3333  0.5000
Pr  0.0000  0.2512  0.2500
Pr  0.0000  0.7488  0.7500
Pr  0.2512  0.0000  0.2500
Pr  0.2512  0.2512  0.7500
Pr  0.7488  0.0000  0.7500
Pr  0.7488  0.7488  0.2500
Bi  0.0000  0.3869  0.7500
Bi  0.0000  0.6131  0.2500
Bi  0.3869  0.0000  0.7500
Bi  0.3869  0.3869  0.2500
Bi  0.6131  0.0000  0.2500
Bi  0.6131  0.6131  0.7500

---

Below is a geometry-optimized Rb2YTiCl6 structure, with properties calculated at the PBE level.

Output
VASP energy: -4.52 eV per atom
V: 287 Å³/cell
magnetic moment: 0.3000 μB/atom
formation energy without anion corrections: -1.784 eV/atom
space-group type: Fm-3m

Cell: 7.4039 7.4039 7.4039 Å, 60.00 60.00 60.00°
Fractional positions:
Rb  0.2500  0.2500  0.2500
Rb  0.7500  0.7500  0.7500
Y  0.0000  0.0000  0.0000
Ti  0.5000  0.5000  0.5000
Cl  0.2539  0.2539  0.7461
Cl  0.2539  0.7461  0.2539
Cl  0.2539  0.7461  0.7461
Cl  0.7461  0.2539  0.2539
Cl  0.7461  0.2539  0.7461
Cl  0.7461  0.7461  0.2539

---

Below is a geometry-optimized K2NbI structure, with properties calculated at the PBE level.

Output
VASP energy: -2.79 eV per atom
V: 163 Å³/cell
magnetic moment: 1.3969 μB/atom
formation energy without anion corrections: 0.660 eV/atom
energy above the lowest structure with this stoichiometry: 44 meV per atom
space-group type: Fm-3m

Cell: 6.1314 6.1314 6.1314 Å, 60.00 60.00 60.00°
Fractional positions:
K  0.2500  0.2500  0.2500
K  0.7500  0.7500  0.7500
Nb  0.0000  0.0000  0.0000
I  0.5000  0.5000  0.5000

---

Below is a geometry-optimized AcTbPm5Pr2 structure, with properties calculated at the PBE level.

Output
VASP energy: -4.42 eV per atom
V: 647 Å³/cell
magnetic moment: 0.0000 μB/atom
ΔH_f (0 K): 2.23 eV per formula unit
space-group type: I4/mcm

Cell: 10.2186 10.2186 10.2186 Å, 127.76 127.76 77.02°
Fractional positions:
Ac  0.2500  0.2500  0.0000
Ac  0.7500  0.7500  0.0000
Tb  0.2500  0.7500  0.5000
Tb  0.7500  0.2500  0.5000
Pm  0.0000  0.0000  0.0000
Pm  0.0710  0.5710  0.9110
Pm  0.1599  0.0710  0.5000
Pm  0.3401  0.8401  0.9110
Pm  0.4290  0.3401  0.5000
Pm  0.5000  0.5000  0.0000
Pm  0.5710  0.6599  0.5000
Pm  0.6599  0.1599  0.0890
Pm  0.8401  0.9290  0.5000
Pm  0.9290  0.4290  0.0890
Pr  0.1179  0.3821  0.5000
Pr  0.3821  0.8821  0.2642
Pr  0.6179  0.1179  0.7358
Pr  0.8821  0.6179  0.5000

---

Below is a geometry-optimized SrY3Ir structure, with properties calculated at the PBE level.

Output
VASP energy: -5.82 eV per atom
V: 379 Å³/cell
magnetic moment: 0.0000 μB/atom
ΔH_f (0 K): 0.81 eV per formula unit
energy above the lowest structure with this stoichiometry: 532 meV per atom
space-group type: Cmcm

Cell: 9.0098 9.0098 5.1740 Å, 90.00 90.00 115.43°
Fractional positions:
Sr  0.2405  0.7595  0.7500
Sr  0.7595  0.2405  0.2500
Y  0.0000  0.0000  0.0000
Y  0.0000  0.0000  0.5000
Y  0.2519  0.4148  0.2500
Y  0.4148  0.2519  0.7500
Y  0.5852  0.7481  0.2500
Y  0.7481  0.5852  0.7500
Ir  0.4353  0.5647  0.7500
Ir  0.5647  0.4353  0.2500

---

Below is a geometry-optimized Pr2Sm5Ho3 structure, with properties calculated at the PBE level.

Output
VASP energy: -4.31 eV per atom
V: 714 Å³/cell
magnetic moment: 0.0000 μB/atom
ΔH_f (0 K): 3.81 eV per formula unit
energy above the lowest structure with this stoichiometry: 192 meV per atom
space-group type: Ibam

Cell: 12.4353 12.4353 12.4353 Å, 135.20 56.15 147.93°
Fractional positions:
Pr  0.1229  0.1016  0.2246
Pr  0.3771  0.6016  0.9787
Pr  0.6229  0.3984  0.0213
Pr  0.8771  0.8984  0.7754
Sm  0.0008  0.2500  0.7508
Sm  0.1258  0.4083  0.5341
Sm  0.2500  0.7500  0.5000
Sm  0.3742  0.9083  0.2825
Sm  0.4992  0.2500  0.2492
Sm  0.5008  0.7500  0.7508
Sm  0.6258  0.0917  0.7175
Sm  0.7500  0.2500  0.5000
Sm  0.8742  0.5917  0.4659
Sm  0.9992  0.7500  0.2492
Ho  0.1213  0.7514  0.8727
Ho  0.2500  0.2500  0.0000
Ho  0.3787  0.2514  0.6301
Ho  0.6213  0.7486  0.3699
Ho  0.7500  0.7500  0.0000
Ho  0.8787  0.2486  0.1273

---

Below is a geometry-optimized VCoMoRu structure, with properties calculated at the PBE level.

Output
VASP energy: -9.02 eV per atom
V: 54 Å³/cell
magnetic moment: 0.5221 μB/atom
ΔH_f (0 K): 0.26 eV per formula unit
space-group type: F-43m

Cell: 4.2463 4.2463 4.2463 Å, 60.00 60.00 60.00°
Fractional positions:
V  0.0000  0.0000  0.0000
Co  0.5000  0.5000  0.5000
Mo  0.7500  0.7500  0.7500
Ru  0.2500  0.2500  0.2500

---

Below is a geometry-optimized ZrBeMo2N structure, with properties calculated at the PBE level.

Output
VASP energy: -6.35 eV per atom
V: 99 Å³/cell
magnetic moment: 0.0001 μB/atom
formation energy without anion corrections: 2.105 eV/atom
space-group type: P4/mmm

Cell: 4.9548 4.9548 4.0283 Å, 90.00 90.00 90.00°
Fractional positions:
Zr  0.0000  0.0000  0.0000
Be  0.5000  0.5000  0.5000
Mo  0.0000  0.5000  0.0000
Mo  0.5000  0.0000  0.0000
N  0.0000  0.0000  0.5000

---

Below is a geometry-optimized Dy2HgC structure, with properties calculated at the PBE level.

Output
VASP energy: -5.07 eV per atom
V: 89 Å³/cell
magnetic moment: 0.2300 μB/atom
ΔH_f (0 K): -1.54 eV per formula unit
space-group type: R-3m

Cell: 8.0656 8.0656 8.0656 Å, 25.98 25.98 25.98°
Fractional positions:
Dy  0.2244  0.2244  0.2244
Dy  0.7756  0.7756  0.7756
Hg  0.0000  0.0000  0.0000
C  0.5000  0.5000  0.5000

---

Below is a geometry-optimized Ba2Sr6HgIr structure, with properties calculated at the PBE level.

Output
VASP energy: -2.49 eV per atom
V: 488 Å³/cell
magnetic moment: 0.0000 μB/atom
ΔH_f (0 K): -1.79 eV per formula unit
space-group type: Fm-3m

Cell: 8.8348 8.8348 8.8348 Å, 60.00 60.00 60.00°
Fractional positions:
Ba  0.2500  0.2500  0.2500
Ba  0.7500  0.7500  0.7500
Sr  0.2358  0.2358  0.7642
Sr  0.2358  0.7642  0.2358
Sr  0.2358  0.7642  0.7642
Sr  0.7642  0.2358  0.2358
Sr  0.7642  0.2358  0.7642
Sr  0.7642  0.7642  0.2358
Hg  0.5000  0.5000  0.5000
Ir  0.0000  0.0000  0.0000